Crystalline Sr2PdRh at its relaxed geometry, computed with PBE.

The value obtained for the calculated volume is 26.0 Å³/atom. The magnetic moment is 0.00 μB per formula unit. The energy of formation from the pure elements comes out at -0.04 eV per atom. For the total energy, the calculation gives -4.02 eV per atom.

Lattice parameters (Å, degrees): 7.993 7.993 6.521 52.20 52.20 90.00
Element x y z (fractional)
Sr 0.875 0.865 0.750
Sr 0.375 0.385 0.750
Sr 0.135 0.625 0.250
Sr 0.615 0.125 0.250
Pd 0.750 0.250 0.500
Pd 0.000 0.000 0.000
Rh 0.250 0.750 0.500
Rh 0.500 0.500 0.000

Crystalline SrPd2Rh2 at its relaxed geometry, computed with PBE.

The value obtained for the energy above the most stable polymorph in this dataset is 41.8 meV/atom. The value obtained for the calculated volume is 17.8 Å³/atom. The magnetic moment is 0.00 μB per formula unit. The energy of formation from the pure elements comes out at 0.01 eV per atom. For the total energy, the calculation gives -5.34 eV per atom.

Lattice parameters (Å, degrees): 7.877 7.877 2.877 90.00 90.00 90.00
Element x y z (fractional)
Pd 0.376 0.876 0.000
Pd 0.876 0.624 0.000
Pd 0.624 0.124 0.000
Pd 0.124 0.376 0.000
Sr 0.000 0.000 0.000
Sr 0.500 0.500 0.000
Rh 0.673 0.827 0.500
Rh 0.827 0.327 0.500
Rh 0.327 0.173 0.500
Rh 0.173 0.673 0.500

Crystalline Sr12Pd6Rh at its relaxed geometry, computed with PBE.

The value obtained for the calculated volume is 35.9 Å³/atom. The magnetic moment is 0.00 μB per formula unit. The energy of formation from the pure elements comes out at -0.40 eV per atom. For the total energy, the calculation gives -3.49 eV per atom.

Lattice parameters (Å, degrees): 8.940 8.940 8.940 99.35 99.35 99.35
Element x y z (fractional)
Pd 0.685 0.866 0.379
Pd 0.621 0.315 0.134
Pd 0.379 0.685 0.866
Pd 0.866 0.379 0.685
Pd 0.315 0.134 0.621
Pd 0.134 0.621 0.315
Sr 0.682 0.915 0.041
Sr 0.179 0.416 0.577
Sr 0.959 0.318 0.085
Sr 0.584 0.423 0.821
Sr 0.423 0.821 0.584
Sr 0.318 0.085 0.959
Sr 0.577 0.179 0.416
Sr 0.821 0.584 0.423
Sr 0.041 0.682 0.915
Sr 0.416 0.577 0.179
Sr 0.915 0.041 0.682
Sr 0.085 0.959 0.318
Rh 0.000 0.000 0.000

Crystalline SrPdRh at its relaxed geometry, computed with PBE.

The value obtained for the energy above the most stable polymorph in this dataset is 208.8 meV/atom. The value obtained for the calculated volume is 22.9 Å³/atom. The magnetic moment is 0.00 μB per formula unit. The energy of formation from the pure elements comes out at -0.22 eV per atom. For the total energy, the calculation gives -4.97 eV per atom.

Lattice parameters (Å, degrees): 4.489 4.489 7.523 107.22 107.27 90.37
Element x y z (fractional)
Sr 0.156 0.655 0.811
Sr 0.844 0.345 0.189
Rh 0.500 0.500 0.500
Rh 0.000 0.000 0.500
Pd 0.393 0.894 0.287
Pd 0.607 0.106 0.713